(1)
VASP calculation (SCAN) on Fe2CuOs at its PBEsol-relaxed geometry.

Cell: 4.058 4.058 4.058 Å, 60.00 60.00 60.00°
Sites, in units of the cell vectors:
Fe 0.250 0.250 0.250
Fe 0.750 0.750 0.750
Cu 0.000 0.000 0.000
Os 0.500 0.500 0.500

Space-group type: No. 225

=====

(2)
VASP calculation (SCAN) on Fe2CuOs at its PBEsol-relaxed geometry.

Cell: 2.598 2.598 6.975 Å, 90.00 90.00 90.00°
Sites, in units of the cell vectors:
Fe 0.000 0.000 0.245
Fe 0.000 0.000 0.755
Cu 0.500 0.500 0.000
Os 0.500 0.500 0.500

Space-group type: No. 123

=====

Winner for stability: (2)

=====

(1)
VASP calculation (SCAN) on FeCuPt at its PBEsol-relaxed geometry.

Cell: 3.969 3.969 3.969 Å, 60.00 60.00 60.00°
Sites, in units of the cell vectors:
Fe 0.000 0.000 0.000
Cu 0.250 0.250 0.250
Pt 0.500 0.500 0.500

Space-group type: No. 216

=====

(2)
VASP calculation (SCAN) on FeCuPt at its PBEsol-relaxed geometry.

Cell: 5.633 5.633 5.633 Å, 152.49 152.49 39.30°
Sites, in units of the cell vectors:
Fe 0.000 0.000 0.000
Cu 0.657 0.657 0.000
Pt 0.331 0.331 0.000

Space-group type: No. 107

=====

Winner for stability: (2)

=====

(1)
VASP calculation (SCAN) on FeCu2Re at its PBEsol-relaxed geometry.

Cell: 4.623 4.623 2.501 Å, 90.00 90.00 113.23°
Sites, in units of the cell vectors:
Fe 0.000 0.000 0.000
Cu 0.000 0.500 0.500
Cu 0.500 0.000 0.500
Re 0.500 0.500 0.000

Space-group type: No. 65

=====

(2)
VASP calculation (SCAN) on FeCu2Re at its PBEsol-relaxed geometry.

Cell: 4.400 4.400 2.571 Å, 90.00 90.00 90.00°
Sites, in units of the cell vectors:
Fe 0.000 0.000 0.000
Cu 0.000 0.500 0.500
Cu 0.500 0.000 0.500
Re 0.500 0.500 0.000

Space-group type: No. 123

=====

Winner for stability: (1)